MnIrOsO6: optimized geometry, PBE+U.

```
18
Lattice="5.0841 0.0000 0.0000 -2.5421 4.4030 0.0000 0.0000 0.0000 9.3931" Properties=species:S:1:pos:R:3 pbc="T T T"
Mn 0.0000 0.0000 0.0000
Mn 0.0000 0.0000 4.6966
Ir 0.0000 2.9353 2.3483
Ir 2.5421 1.4677 7.0448
Os 0.0000 2.9353 7.0448
Os 2.5421 1.4677 2.3483
O -0.8571 1.5625 5.9426
O -1.6175 2.8794 8.1471
O 0.8571 1.5625 8.1471
O -0.7603 4.3640 5.9426
O 1.7817 0.0390 1.2460
O 0.9246 1.5235 3.4505
O 1.6175 2.8794 5.9426
O 0.7603 4.3640 8.1471
O 3.3024 0.0390 3.4505
O 1.6849 2.8405 1.2460
O 4.1595 1.5235 1.2460
O 3.3992 2.8405 3.4505
```

Computed properties:
**ρ**: 8.42 g/cm³
**Energy**: -7.356 eV per atom
**Symmetry**: P-31c